(1)
The following is a PBE calculation of RbSr2InO4 after structural relaxation, from Alexandria via LeMat-Bulk.

Lattice parameters (Å, degrees): 7.3524 7.3524 7.2413 119.43 119.43 90.18
With the nearest neighbours (Å) after each atom.
Sites, in units of the cell vectors:
Rb 0.0000 0.0000 0.0000  6 O 2.71-2.78
Rb 0.0000 0.0000 0.5000  6 O 2.71-2.78
Sr 0.0000 0.5000 0.0000  4 O 2.54
Sr 0.5000 0.0000 0.5000  4 O 2.54
Sr 0.5000 0.5000 0.0000  6 O 2.50-2.53
Sr 0.5000 0.5000 0.5000  6 O 2.50-2.53
In 0.0000 0.5000 0.5000  2 O 2.10
In 0.5000 0.0000 0.0000  2 O 2.10
O 0.2248 0.3234 0.5243  1 In 2.10
O 0.2593 0.7387 0.4868  3 Sr 2.50-2.54, 2 In 2.65-2.67, 1 Rb 2.71
O 0.2613 0.7407 0.0132  3 Sr 2.50-2.54, 2 In 2.65-2.67, 1 Rb 2.71
O 0.3234 0.2248 0.0243  1 In 2.10
O 0.6766 0.7752 0.9757  1 In 2.10
O 0.7387 0.2593 0.9868  3 Sr 2.50-2.54, 2 In 2.65-2.67, 1 Rb 2.71
O 0.7407 0.2613 0.5132  3 Sr 2.50-2.54, 2 In 2.65-2.67, 1 Rb 2.71
O 0.7752 0.6766 0.4757  1 In 2.10

Properties
Magnetization: 0.00 μB/f.u.
ΔE_f (raw): -184 kJ per mole of atoms
Final energy: -84.3 eV/cell

(2)
The following is a PBE calculation of AcLa3PrSm after structural relaxation, from Alexandria via LeMat-Bulk.

Lattice parameters (Å, degrees): 11.0487 11.0487 7.1341 91.27 91.27 31.57
With the nearest neighbours (Å) after each atom.
Sites, in units of the cell vectors:
Ac 0.1493 0.1493 0.0409  1 Sm 3.28, 4 La 3.46-3.67
Ac 0.8507 0.8507 0.9591  1 Sm 3.28, 4 La 3.46-3.67
La 0.0159 0.0159 0.7532  1 Sm 3.24, 2 Pr 3.38, 1 Ac 3.46, 1 La 3.60
La 0.2806 0.2806 0.7155  1 Sm 3.32, 1 Pr 3.46, 1 La 3.63, 1 Ac 3.67
La 0.3412 0.3412 0.2444  2 Sm 3.54, 2 La 3.63-3.96, 2 Ac 3.64
La 0.6588 0.6588 0.7556  2 Sm 3.54, 2 La 3.63-3.96, 2 Ac 3.64
La 0.7194 0.7194 0.2845  1 Sm 3.32, 1 Pr 3.46, 1 La 3.63, 1 Ac 3.67
La 0.9841 0.9841 0.2468  1 Sm 3.24, 2 Pr 3.38, 1 Ac 3.46, 1 La 3.60
Pr 0.4433 0.4433 0.7220  3 La 3.38-3.46
Pr 0.5567 0.5567 0.2780  3 La 3.38-3.46
Sm 0.1405 0.1405 0.4993  4 La 3.24-3.54, 1 Ac 3.28
Sm 0.8595 0.8595 0.5007  4 La 3.24-3.54, 1 Ac 3.28

Properties
Magnetization: 0.00 μB/f.u.
Energy of formation: 0.16 eV/atom
Final energy: -54.9 eV/cell

(3)
The following is a PBE calculation of TmThInRu after structural relaxation, from Alexandria via LeMat-Bulk.

Lattice parameters (Å, degrees): 5.1456 5.1456 5.1456 60.00 60.00 60.00
With the nearest neighbours (Å) after each atom.
Sites, in units of the cell vectors:
Tm 0.0000 0.0000 0.0000  4 In 3.15, 4 Ru 3.15
Th 0.5000 0.5000 0.5000  4 In 3.15, 4 Ru 3.15
In 0.7500 0.7500 0.7500  4 Tm 3.15, 4 Th 3.15
Ru 0.2500 0.2500 0.2500  4 Th 3.15, 4 Tm 3.15

Properties
Magnetization: 0.00 μB/f.u.
Energy of formation: -0.24 eV/atom
Final energy: -24.9 eV/cell

(4)
The following is a PBE calculation of Ba7Bi2BrO2 after structural relaxation, from Alexandria via LeMat-Bulk.

Lattice parameters (Å, degrees): 5.5494 5.5494 14.7984 100.73 100.73 90.04
With the nearest neighbours (Å) after each atom.
Sites, in units of the cell vectors:
Ba 0.0000 0.0000 0.0000  2 O 2.72
Ba 0.0965 0.5961 0.1920  2 O 2.77
Ba 0.1975 0.1975 0.3969  1 O 2.94
Ba 0.4039 0.9035 0.8080  2 O 2.77
Ba 0.5961 0.0965 0.1920  2 O 2.77
Ba 0.8025 0.8025 0.6031  1 O 2.94
Ba 0.9035 0.4039 0.8080  2 O 2.77
Bi 0.3241 0.3241 0.6479  9 Ba 3.58-3.98
Bi 0.6759 0.6759 0.3521  9 Ba 3.58-3.98
Br 0.5000 0.5000 0.0000  12 Ba 3.90-3.93
O 0.0955 0.0955 0.1907  6 Ba 2.72-2.94
O 0.9045 0.9045 0.8093  6 Ba 2.72-2.94

Properties
Magnetization: 0.00 μB/f.u.
ΔE_f (raw): -130 kJ per mole of atoms
Final energy: -49.0 eV/cell

(5)
The following is a PBE calculation of RuS2Br after structural relaxation, from Alexandria via LeMat-Bulk.

Lattice parameters (Å, degrees): 6.5271 6.5271 6.5271 120.94 120.94 88.38
With the nearest neighbours (Å) after each atom.
Sites, in units of the cell vectors:
Ru 0.0000 0.0000 0.0000  4 S 2.20
Ru 0.7500 0.2500 0.5000  4 S 2.20
S 0.0226 0.6250 0.8976  2 Ru 2.20
S 0.3750 0.2726 0.3976  2 Ru 2.20
S 0.7274 0.1250 0.1024  2 Ru 2.20
S 0.8750 0.9774 0.6024  2 Ru 2.20
Br 0.2500 0.7500 0.5000  4 S 3.02
Br 0.5000 0.5000 0.0000  4 S 3.02

Properties
Magnetization: 0.00 μB/f.u.
Energy relative to the lowest polymorph listed for this composition: 201.4 meV/atom
ΔE_f (raw): 5 kJ per mole of atoms
Final energy: -38.0 eV/cell

(6)
The following is a PBE calculation of Fe2Tc2Rh3 after structural relaxation, from Alexandria via LeMat-Bulk.

Lattice parameters (Å, degrees): 9.1527 9.1527 2.6773 90.00 90.00 154.10
With the nearest neighbours (Å) after each atom.
Sites, in units of the cell vectors:
Fe 0.0703 0.9297 0.0000  3 Fe 2.51-2.68, 1 Tc 2.51, 4 Rh 2.75
Fe 0.9297 0.0703 0.0000  3 Fe 2.51-2.68, 1 Tc 2.51, 4 Rh 2.75
Tc 0.2109 0.7891 0.0000  4 Tc 2.48-2.68, 1 Fe 2.51, 4 Rh 2.68
Tc 0.7891 0.2109 0.0000  4 Tc 2.48-2.68, 1 Fe 2.51, 4 Rh 2.68
Rh 0.3505 0.6495 0.5000  3 Rh 2.67-2.68, 6 Tc 2.68-2.83, 4 Fe 2.83
Rh 0.5000 0.5000 0.5000  4 Rh 2.67-2.68, 8 Fe 2.75
Rh 0.6495 0.3505 0.5000  3 Rh 2.67-2.68, 6 Tc 2.68-2.83, 4 Fe 2.83

Properties
Magnetization: 5.30 μB/f.u.
Energy of formation: 0.06 eV/atom
Final energy: -59.3 eV/cell

(7)
The following is a PBE calculation of CdTcOs2 after structural relaxation, from Alexandria via LeMat-Bulk.

Lattice parameters (Å, degrees): 2.8381 4.7023 4.7111 90.00 90.00 90.00
With the nearest neighbours (Å) after each atom.
Sites, in units of the cell vectors:
Cd 0.0000 0.0000 0.0000  4 Os 2.75, 4 Tc 2.75, 2 Cd 2.84
Tc 0.5000 0.0000 0.5000  4 Os 2.75, 4 Cd 2.75, 2 Tc 2.84
Os 0.0000 0.5000 0.5000  4 Tc 2.75, 6 Os 2.75-2.84
Os 0.5000 0.5000 0.0000  4 Cd 2.75, 6 Os 2.75-2.84

Properties
Magnetization: 0.00 μB/f.u.
Energy of formation: 0.76 eV/atom
Final energy: -30.7 eV/cell

(8)
The following is a PBE calculation of BaSbCl2 after structural relaxation, from Alexandria via LeMat-Bulk.

Lattice parameters (Å, degrees): 4.1039 5.6957 5.9760 90.00 90.00 90.00
With the nearest neighbours (Å) after each atom.
Sites, in units of the cell vectors:
Ba 0.0000 0.0000 0.0000  2 Cl 2.98-2.99
Sb 0.5000 0.5000 0.8265  1 Cl 2.50
Cl 0.0000 0.0000 0.5010  2 Ba 2.98-2.99
Cl 0.5000 0.5000 0.2446  1 Sb 2.50

Properties
Magnetization: 0.00 μB/f.u.
Energy relative to the lowest polymorph listed for this composition: 175.2 meV/atom
ΔE_f (raw): -109 kJ per mole of atoms
Final energy: -14.2 eV/cell

(9)
The following is a PBE calculation of TbPuHgO6 after structural relaxation, from Alexandria via LeMat-Bulk.

Lattice parameters (Å, degrees): 5.1628 5.1628 10.2910 90.00 90.00 90.00
With the nearest neighbours (Å) after each atom.
Sites, in units of the cell vectors:
Tb 0.0000 0.0000 0.0000  6 O 2.25-2.31
Tb 0.5000 0.5000 0.5000  6 O 2.25-2.31
Pu 0.0000 0.0000 0.6636  6 O 2.01-2.04
Pu 0.5000 0.5000 0.1636  6 O 2.01-2.04
Hg 0.0000 0.0000 0.3300  6 O 2.34-2.42
Hg 0.5000 0.5000 0.8300  6 O 2.34-2.42
O 0.1797 0.1797 0.8149  1 Pu 2.04
O 0.1929 0.1929 0.5214  1 Pu 2.03, 1 Tb 2.25
O 0.2246 0.2246 0.1584  1 Pu 2.01
O 0.2754 0.7246 0.6584  1 Pu 2.01
O 0.3071 0.6929 0.0214  1 Pu 2.03, 1 Tb 2.25
O 0.3203 0.6797 0.3149  1 Pu 2.04
O 0.6797 0.3203 0.3149  1 Pu 2.04
O 0.6929 0.3071 0.0214  1 Pu 2.03, 1 Tb 2.25
O 0.7246 0.2754 0.6584  1 Pu 2.01
O 0.7754 0.7754 0.1584  1 Pu 2.01
O 0.8071 0.8071 0.5214  1 Pu 2.03, 1 Tb 2.25
O 0.8203 0.8203 0.8149  1 Pu 2.04

Properties
Magnetization: 1.00 μB/f.u.
ΔE_f (raw): -208 kJ per mole of atoms
Final energy: -136.8 eV/cell

(10)
The following is a PBE calculation of Be2PAu after structural relaxation, from Alexandria via LeMat-Bulk.

Lattice parameters (Å, degrees): 5.6817 5.6817 5.6817 35.08 35.08 35.08
With the nearest neighbours (Å) after each atom.
Sites, in units of the cell vectors:
Be 0.0000 0.0000 0.0000  3 P 2.21
Be 0.2057 0.2057 0.2057  3 P 2.24, 3 Au 2.50
P 0.6055 0.6055 0.6055  6 Be 2.21-2.24
Au 0.4429 0.4429 0.4429  6 Be 2.50-2.64, 1 P 2.60

Properties
Magnetization: 0.00 μB/f.u.
Energy of formation: 0.03 eV/atom
Final energy: -16.0 eV/cell

(11)
The following is a PBE calculation of AsCS2 after structural relaxation, from Alexandria via LeMat-Bulk.

Lattice parameters (Å, degrees): 3.3132 4.6925 5.6382 74.40 73.13 89.98
With the nearest neighbours (Å) after each atom.
Sites, in units of the cell vectors:
As 0.0000 0.0000 0.0000  1 C 1.99
C 0.8528 0.6365 0.2969  2 S 1.68-1.75
S 0.6983 0.6358 0.6077  1 C 1.68
S 0.8438 0.2571 0.3160  1 C 1.75

Properties
Magnetization: 0.00 μB/f.u.
Energy relative to the lowest polymorph listed for this composition: 114.6 meV/atom
ΔE_f (raw): 58 kJ per mole of atoms
Final energy: -19.7 eV/cell

(12)
The following is a PBE calculation of Na4Cd5Pb2 after structural relaxation, from Alexandria via LeMat-Bulk.

Lattice parameters (Å, degrees): 8.2364 8.2364 6.8459 109.03 109.03 43.95
With the nearest neighbours (Å) after each atom.
Sites, in units of the cell vectors:
Na 0.1139 0.1139 0.4881  6 Cd 3.33-3.55, 3 Pb 3.34-3.51, 2 Na 3.54-3.55
Na 0.2589 0.2589 0.1809  5 Cd 3.29-3.56, 3 Pb 3.41-3.67, 1 Na 3.55
Na 0.7411 0.7411 0.8191  5 Cd 3.29-3.56, 3 Pb 3.41-3.67, 1 Na 3.55
Na 0.8861 0.8861 0.5119  6 Cd 3.33-3.55, 3 Pb 3.34-3.51, 2 Na 3.54-3.55
Cd 0.1714 0.6995 0.1184  4 Cd 2.91-3.25, 1 Pb 3.09
Cd 0.3005 0.8286 0.8816  4 Cd 2.91-3.25, 1 Pb 3.09
Cd 0.5000 0.5000 0.5000  4 Cd 2.94, 2 Pb 3.16
Cd 0.6995 0.1714 0.1184  4 Cd 2.91-3.25, 1 Pb 3.09
Cd 0.8286 0.3005 0.8816  4 Cd 2.91-3.25, 1 Pb 3.09
Pb 0.3470 0.3470 0.7125  3 Cd 3.09-3.16, 2 Na 3.34-3.41
Pb 0.6530 0.6530 0.2875  3 Cd 3.09-3.16, 2 Na 3.34-3.41

Properties
Magnetization: 0.00 μB/f.u.
Energy relative to the lowest polymorph listed for this composition: 0.0 meV/atom
Energy of formation: -0.11 eV/atom
Final energy: -18.5 eV/cell